No. 1
# PaI2Br3 | the Alexandria database | PBE | optimized geometry
data_PaI2Br3
_cell_length_a 5.7222
_cell_length_b 8.4354
_cell_length_c 14.5633
_cell_angle_alpha 90.00
_cell_angle_beta 90.00
_cell_angle_gamma 90.00
_symmetry_space_group_name_H-M 'I m m 2'
_symmetry_Int_Tables_number 44
loop_
_symmetry_equiv_pos_as_xyz
'x,y,z'
'-x,-y,z'
'-x,y,z'
'x,-y,z'
'x+1/2,y+1/2,z+1/2'
'-x+1/2,-y+1/2,z+1/2'
'-x+1/2,y+1/2,z+1/2'
'x+1/2,-y+1/2,z+1/2'
loop_
_atom_site_label
_atom_site_type_symbol
_atom_site_fract_x
_atom_site_fract_y
_atom_site_fract_z
Pa1 Pa 0.0000 0.0000 0.0000
I1 I 0.0000 0.2419 0.8584
Br1 Br 0.0000 0.2244 0.1286
Br2 Br 0.0000 0.5000 0.4997
# - DFT total energy (eV per atom) = -4.1208
# - energy relative to the elements, uncorrected (eV/atom) = -1.19
# - density (Mg/m³) = 3.42
# - crystal system = orthorhombic



No. 2
# PaI2Br | the Alexandria database | PBE | optimized geometry
data_PaI2Br
_cell_length_a 3.8921
_cell_length_b 12.0936
_cell_length_c 7.5814
_cell_angle_alpha 90.00
_cell_angle_beta 90.00
_cell_angle_gamma 90.00
_symmetry_space_group_name_H-M 'I m m 2'
_symmetry_Int_Tables_number 44
loop_
_symmetry_equiv_pos_as_xyz
'x,y,z'
'-x,-y,z'
'-x,y,z'
'x,-y,z'
'x+1/2,y+1/2,z+1/2'
'-x+1/2,-y+1/2,z+1/2'
'-x+1/2,y+1/2,z+1/2'
'x+1/2,-y+1/2,z+1/2'
loop_
_atom_site_label
_atom_site_type_symbol
_atom_site_fract_x
_atom_site_fract_y
_atom_site_fract_z
Pa1 Pa 0.0000 0.0000 0.0000
I1 I 0.0000 0.3284 0.3315
Br1 Br 0.0000 0.5000 0.7878
# - density of states at the Fermi level (states/eV/cell) = 8.8
# - DFT total energy (eV per atom) = -4.5641
# - energy relative to the elements, uncorrected (eV/atom) = -1.00
# - density (Mg/m³) = 5.26
# - crystal system = orthorhombic



No. 3
# Pa2IBr8 | the Alexandria database | PBE | optimized geometry
data_Pa2IBr8
_cell_length_a 8.9569
_cell_length_b 12.9491
_cell_length_c 9.5735
_cell_angle_alpha 90.00
_cell_angle_beta 94.53
_cell_angle_gamma 90.00
_symmetry_space_group_name_H-M 'C 1 2/m 1'
_symmetry_Int_Tables_number 12
loop_
_symmetry_equiv_pos_as_xyz
'x,y,z'
'-x,-y,-z'
'-x,y,-z'
'x,-y,z'
'x+1/2,y+1/2,z'
'-x+1/2,-y+1/2,-z'
'-x+1/2,y+1/2,-z'
'x+1/2,-y+1/2,z'
loop_
_atom_site_label
_atom_site_type_symbol
_atom_site_fract_x
_atom_site_fract_y
_atom_site_fract_z
Pa1 Pa 0.1212 0.0000 0.2051
I1 I 0.0000 0.0000 0.5000
Br1 Br 0.0892 0.5000 0.7068
Br2 Br 0.1069 0.2063 0.2084
Br3 Br 0.1878 0.0000 0.9189
# - density of states at the Fermi level (states/eV/cell) = 14.5
# - DFT total energy (eV per atom) = -4.4366
# - energy relative to the elements, uncorrected (eV/atom) = -1.35
# - density (Mg/m³) = 3.69
# - crystal system = monoclinic



No. 4
# PaI2Br2 | the Alexandria database | PBE | optimized geometry
data_PaI2Br2
_cell_length_a 7.4747
_cell_length_b 14.6853
_cell_length_c 4.4213
_cell_angle_alpha 90.00
_cell_angle_beta 90.00
_cell_angle_gamma 90.00
_symmetry_space_group_name_H-M 'P b a m'
_symmetry_Int_Tables_number 55
loop_
_symmetry_equiv_pos_as_xyz
'x,y,z'
'-x,-y,-z'
'-x,-y,z'
'x,y,-z'
'x+1/2,-y+1/2,-z'
'-x+1/2,y+1/2,z'
'-x+1/2,y+1/2,-z'
'x+1/2,-y+1/2,z'
loop_
_atom_site_label
_atom_site_type_symbol
_atom_site_fract_x
_atom_site_fract_y
_atom_site_fract_z
Pa1 Pa 0.0000 0.0000 0.0000
I1 I 0.1923 0.1120 0.5000
Br1 Br 0.2283 0.3790 0.0000
# - density of states at the Fermi level (states/eV/cell) = 9.8
# - DFT total energy (eV per atom) = -4.3574
# - energy relative to the elements, uncorrected (eV/atom) = -1.17
# - density (Mg/m³) = 4.41
# - crystal system = orthorhombic